Record 1
Ta3Hg | PBE | optimized geometry

a b c (Å): 9.5412 9.5412 2.8432
angles (deg): 90.00 90.00 120.00
Sites, in units of the cell vectors:
Ta (0.0000, 0.5000, 0.0000)
Ta (0.1667, 0.3333, 0.3333)
Ta (0.1667, 0.8333, 0.3333)
Ta (0.3333, 0.1667, 0.6667)
Ta (0.5000, 0.0000, 0.0000)
Ta (0.5000, 0.5000, 0.0000)
Ta (0.6667, 0.8333, 0.3333)
Ta (0.8333, 0.1667, 0.6667)
Ta (0.8333, 0.6667, 0.6667)
Hg (0.0000, 0.0000, 0.0000)
Hg (0.3333, 0.6667, 0.6667)
Hg (0.6667, 0.3333, 0.3333)

Values from the calculation:
* space-group type: R-3m (166)
* ΔH_f (0 K): 0.261 eV per atom

Record 2
Ta3Hg | PBE | optimized geometry

a b c (Å): 5.8685 8.6897 2.9447
angles (deg): 90.00 90.00 90.00
Sites, in units of the cell vectors:
Ta (0.0000, 0.0000, 0.0000)
Ta (0.2500, 0.2500, 0.5000)
Ta (0.2500, 0.7500, 0.5000)
Ta (0.5000, 0.5000, 0.0000)
Ta (0.7500, 0.2500, 0.5000)
Ta (0.7500, 0.7500, 0.5000)
Hg (0.0000, 0.5000, 0.0000)
Hg (0.5000, 0.0000, 0.0000)

Values from the calculation:
* space-group type: Cmmm (65)
* ΔH_f (0 K): 0.281 eV per atom

Record 3
Ta4Hg3 | PBE | optimized geometry

a b c (Å): 3.4796 3.4796 22.8501
angles (deg): 90.00 90.00 90.00
Sites, in units of the cell vectors:
Ta (0.0000, 0.0000, 0.0758)
Ta (0.0000, 0.0000, 0.3668)
Ta (0.0000, 0.0000, 0.6332)
Ta (0.0000, 0.0000, 0.9242)
Ta (0.5000, 0.5000, 0.1332)
Ta (0.5000, 0.5000, 0.4242)
Ta (0.5000, 0.5000, 0.5758)
Ta (0.5000, 0.5000, 0.8668)
Hg (0.0000, 0.0000, 0.2114)
Hg (0.0000, 0.0000, 0.5000)
Hg (0.0000, 0.0000, 0.7886)
Hg (0.5000, 0.5000, 0.0000)
Hg (0.5000, 0.5000, 0.2886)
Hg (0.5000, 0.5000, 0.7114)

Values from the calculation:
* relative energy among the computed polymorphs: 0.000 eV/atom
* space-group type: I4/mmm (139)
* ΔH_f (0 K): 0.366 eV per atom

Record 4
TaHg5 | PBE | optimized geometry

a b c (Å): 3.0155 3.0155 15.8343
angles (deg): 90.00 90.00 90.00
Sites, in units of the cell vectors:
Ta (0.0000, 0.0000, 0.0000)
Hg (0.0000, 0.0000, 0.3124)
Hg (0.0000, 0.0000, 0.6876)
Hg (0.5000, 0.5000, 0.1336)
Hg (0.5000, 0.5000, 0.5000)
Hg (0.5000, 0.5000, 0.8664)

Values from the calculation:
* space-group type: P4/mmm (123)
* ΔH_f (0 K): 0.270 eV per atom

Record 5
TaHg3 | PBE | optimized geometry

a b c (Å): 4.5461 6.0448 6.1294
angles (deg): 90.00 90.00 90.00
Sites, in units of the cell vectors:
Ta (0.2500, 0.2500, 0.1298)
Ta (0.7500, 0.7500, 0.8702)
Hg (0.2500, 0.5085, 0.6552)
Hg (0.2500, 0.7500, 0.1553)
Hg (0.2500, 0.9915, 0.6552)
Hg (0.7500, 0.0085, 0.3448)
Hg (0.7500, 0.2500, 0.8447)
Hg (0.7500, 0.4915, 0.3448)

Values from the calculation:
* space-group type: Pmmn (59)
* ΔH_f (0 K): 0.589 eV per atom

Record 6
TaHg3 | PBE | optimized geometry

a b c (Å): 5.4695 5.4695 2.9046
angles (deg): 90.00 90.00 90.00
Sites, in units of the cell vectors:
Ta (0.0000, 0.0000, 0.0000)
Hg (0.0000, 0.5000, 0.5000)
Hg (0.5000, 0.0000, 0.5000)
Hg (0.5000, 0.5000, 0.0000)

Values from the calculation:
* space-group type: P4/mmm (123)
* ΔH_f (0 K): 0.503 eV per atom

Record 7
Ta4Hg3 | PBE | optimized geometry

a b c (Å): 5.4523 5.4523 5.2532
angles (deg): 90.00 90.00 120.00
Sites, in units of the cell vectors:
Ta (0.0000, 0.0000, 0.2343)
Ta (0.0000, 0.0000, 0.7657)
Ta (0.3333, 0.6667, 0.0000)
Ta (0.6667, 0.3333, 0.0000)
Hg (0.0000, 0.5000, 0.5000)
Hg (0.5000, 0.0000, 0.5000)
Hg (0.5000, 0.5000, 0.5000)

Values from the calculation:
* relative energy among the computed polymorphs: 0.138 eV/atom
* space-group type: P6/mmm (191)
* ΔH_f (0 K): 0.504 eV per atom

Record 8
Ta5Hg | PBE | optimized geometry

a b c (Å): 5.1442 5.1442 4.9334
angles (deg): 90.00 90.00 120.00
Sites, in units of the cell vectors:
Ta (0.0000, 0.6560, 0.0000)
Ta (0.3333, 0.6667, 0.5000)
Ta (0.3440, 0.3440, 0.0000)
Ta (0.6560, 0.0000, 0.0000)
Ta (0.6667, 0.3333, 0.5000)
Hg (0.0000, 0.0000, 0.5000)

Values from the calculation:
* relative energy among the computed polymorphs: 0.174 eV/atom
* space-group type: P-62m (189)
* ΔH_f (0 K): 0.324 eV per atom

Record 9
Ta3Hg | PBE | optimized geometry

a b c (Å): 9.8431 2.9321 5.2703
angles (deg): 90.00 97.67 90.00
Sites, in units of the cell vectors:
Ta (0.0000, 0.0000, 0.0000)
Ta (0.2459, 0.0000, 0.7533)
Ta (0.2541, 0.5000, 0.2467)
Ta (0.5000, 0.5000, 0.0000)
Ta (0.7459, 0.5000, 0.7533)
Ta (0.7541, 0.0000, 0.2467)
Hg (0.0000, 0.5000, 0.5000)
Hg (0.5000, 0.0000, 0.5000)

Values from the calculation:
* space-group type: C2/m (12)
* ΔH_f (0 K): 0.285 eV per atom

Record 10
TaHg7 | PBE | optimized geometry

a b c (Å): 6.3366 6.3366 6.3366
angles (deg): 60.00 60.00 60.00
Sites, in units of the cell vectors:
Ta (0.0000, 0.0000, 0.0000)
Hg (0.0000, 0.0000, 0.5000)
Hg (0.0000, 0.5000, 0.0000)
Hg (0.0000, 0.5000, 0.5000)
Hg (0.5000, 0.0000, 0.0000)
Hg (0.5000, 0.0000, 0.5000)
Hg (0.5000, 0.5000, 0.0000)
Hg (0.5000, 0.5000, 0.5000)

Values from the calculation:
* space-group type: Fm-3m (225)
* ΔH_f (0 K): 0.310 eV per atom

Record 11
Ta3Hg2 | PBE | optimized geometry

a b c (Å): 7.5264 5.7240 8.5971
angles (deg): 59.45 40.92 79.64
Sites, in units of the cell vectors:
Ta (0.0000, 0.0000, 0.0000)
Ta (0.2500, 0.2500, 0.2500)
Ta (0.3660, 0.4692, 0.4309)
Ta (0.4692, 0.3660, 0.7338)
Ta (0.5162, 0.8191, 0.7808)
Ta (0.8191, 0.5162, 0.8840)
Hg (0.0564, 0.7384, 0.3430)
Hg (0.3878, 0.9070, 0.5116)
Hg (0.7384, 0.0564, 0.8622)
Hg (0.9070, 0.3878, 0.1936)

Values from the calculation:
* relative energy among the computed polymorphs: 0.051 eV/atom
* space-group type: Fdd2 (43)
* ΔH_f (0 K): 0.430 eV per atom

Record 12
TaHg5 | PBE | optimized geometry

a b c (Å): 4.3586 13.6779 4.3483
angles (deg): 90.00 90.00 90.00
Sites, in units of the cell vectors:
Ta (0.0000, 0.0000, 0.0000)
Ta (0.5000, 0.5000, 0.0000)
Hg (0.0000, 0.1583, 0.5000)
Hg (0.0000, 0.3358, 0.0000)
Hg (0.0000, 0.5000, 0.5000)
Hg (0.0000, 0.6642, 0.0000)
Hg (0.0000, 0.8417, 0.5000)
Hg (0.5000, 0.0000, 0.5000)
Hg (0.5000, 0.1642, 0.0000)
Hg (0.5000, 0.3417, 0.5000)
Hg (0.5000, 0.6583, 0.5000)
Hg (0.5000, 0.8358, 0.0000)

Values from the calculation:
* space-group type: Cmmm (65)
* ΔH_f (0 K): 0.428 eV per atom

Record 13
TaHg3 | PBE | optimized geometry

a b c (Å): 3.1452 3.1452 9.8798
angles (deg): 90.00 90.00 120.00
Sites, in units of the cell vectors:
Ta (0.0000, 0.0000, 0.0000)
Hg (0.0000, 0.0000, 0.5000)
Hg (0.6667, 0.3333, 0.2394)
Hg (0.6667, 0.3333, 0.7606)

Values from the calculation:
* space-group type: P-6m2 (187)
* ΔH_f (0 K): 0.341 eV per atom

Record 14
Ta7Hg | PBE | optimized geometry

a b c (Å): 5.9558 5.9558 5.9558
angles (deg): 60.00 60.00 60.00
Sites, in units of the cell vectors:
Ta (0.0000, 0.0000, 0.0000)
Ta (0.0000, 0.0000, 0.5000)
Ta (0.0000, 0.5000, 0.0000)
Ta (0.0000, 0.5000, 0.5000)
Ta (0.5000, 0.0000, 0.0000)
Ta (0.5000, 0.0000, 0.5000)
Ta (0.5000, 0.5000, 0.0000)
Hg (0.5000, 0.5000, 0.5000)

Values from the calculation:
* space-group type: Fm-3m (225)
* ΔH_f (0 K): 0.254 eV per atom

Record 15
Ta5Hg3 | PBE | optimized geometry

a b c (Å): 8.3079 8.3079 5.2643
angles (deg): 90.00 90.00 120.00
Sites, in units of the cell vectors:
Ta (0.0000, 0.1965, 0.2500)
Ta (0.0000, 0.8035, 0.7500)
Ta (0.1965, 0.0000, 0.2500)
Ta (0.1965, 0.1965, 0.7500)
Ta (0.3333, 0.6667, 0.0000)
Ta (0.3333, 0.6667, 0.5000)
Ta (0.6667, 0.3333, 0.0000)
Ta (0.6667, 0.3333, 0.5000)
Ta (0.8035, 0.0000, 0.7500)
Ta (0.8035, 0.8035, 0.2500)
Hg (0.0000, 0.4048, 0.7500)
Hg (0.0000, 0.5952, 0.2500)
Hg (0.4048, 0.0000, 0.7500)
Hg (0.4048, 0.4048, 0.2500)
Hg (0.5952, 0.0000, 0.2500)
Hg (0.5952, 0.5952, 0.7500)

Values from the calculation:
* relative energy among the computed polymorphs: 0.146 eV/atom
* space-group type: P6_3/mcm (193)
* ΔH_f (0 K): 0.486 eV per atom

Record 16
Ta3Hg | PBE | optimized geometry

a b c (Å): 3.6712 4.5505 8.9572
angles (deg): 90.00 90.00 90.00
Sites, in units of the cell vectors:
Ta (0.0000, 0.0000, 0.0000)
Ta (0.0000, 0.5000, 0.2574)
Ta (0.0000, 0.5000, 0.7426)
Ta (0.5000, 0.0000, 0.2426)
Ta (0.5000, 0.0000, 0.7574)
Ta (0.5000, 0.5000, 0.5000)
Hg (0.0000, 0.0000, 0.5000)
Hg (0.5000, 0.5000, 0.0000)

Values from the calculation:
* space-group type: Immm (71)
* ΔH_f (0 K): 0.265 eV per atom

Record 17
Tb2TaHg | PBE | optimized geometry

a b c (Å): 3.2079 3.2079 34.1360
angles (deg): 90.00 90.00 120.00
Sites, in units of the cell vectors:
Tb (0.0000, 0.0000, 0.0871)
Tb (0.0000, 0.0000, 0.9129)
Tb (0.3333, 0.6667, 0.5796)
Tb (0.3333, 0.6667, 0.7537)
Tb (0.6667, 0.3333, 0.2463)
Tb (0.6667, 0.3333, 0.4204)
Ta (0.0000, 0.0000, 0.0000)
Ta (0.3333, 0.6667, 0.6667)
Ta (0.6667, 0.3333, 0.3333)
Hg (0.0000, 0.0000, 0.5000)
Hg (0.3333, 0.6667, 0.1667)
Hg (0.6667, 0.3333, 0.8333)

Values from the calculation:
* space-group type: R-3m (166)
* ΔH_f (0 K): 0.494 eV per atom

Record 18
TaTc2Hg | PBE | optimized geometry

a b c (Å): 4.4092 4.4092 3.4054
angles (deg): 90.00 90.00 90.00
Sites, in units of the cell vectors:
Ta (0.0000, 0.0000, 0.0000)
Tc (0.0000, 0.5000, 0.5000)
Tc (0.5000, 0.0000, 0.5000)
Hg (0.5000, 0.5000, 0.0000)

Values from the calculation:
* space-group type: P4/mmm (123)
* ΔH_f (0 K): 0.230 eV per atom

Record 19
TaTcHg3 | PBE | optimized geometry

a b c (Å): 5.3197 5.3197 5.3197
angles (deg): 90.00 90.00 90.00
Sites, in units of the cell vectors:
Ta (0.0000, 0.0000, 0.0000)
Tc (0.5000, 0.5000, 0.5000)
Hg (0.0000, 0.0000, 0.5000)
Hg (0.0000, 0.5000, 0.0000)
Hg (0.5000, 0.0000, 0.0000)

Values from the calculation:
* relative energy among the computed polymorphs: 0.000 eV/atom
* space-group type: Pm-3m (221)
* ΔH_f (0 K): 1.659 eV per atom

Record 20
TaTc2Hg | PBE | optimized geometry

a b c (Å): 4.0121 4.0121 18.9325
angles (deg): 90.00 90.00 90.00
Sites, in units of the cell vectors:
Ta (0.0000, 0.0000, 0.0000)
Ta (0.0000, 0.5000, 0.2500)
Ta (0.5000, 0.0000, 0.7500)
Ta (0.5000, 0.5000, 0.5000)
Tc (0.1755, 0.2500, 0.1250)
Tc (0.2500, 0.6755, 0.3750)
Tc (0.2500, 0.8245, 0.8750)
Tc (0.3245, 0.2500, 0.6250)
Tc (0.6755, 0.7500, 0.6250)
Tc (0.7500, 0.1755, 0.8750)
Tc (0.7500, 0.3245, 0.3750)
Tc (0.8245, 0.7500, 0.1250)
Hg (0.0000, 0.0000, 0.5000)
Hg (0.0000, 0.5000, 0.7500)
Hg (0.5000, 0.0000, 0.2500)
Hg (0.5000, 0.5000, 0.0000)

Values from the calculation:
* space-group type: I-42d (122)
* ΔH_f (0 K): 0.845 eV per atom

Record 21
Ta4TcHg | PBE | optimized geometry

a b c (Å): 5.4065 5.4065 5.4065
angles (deg): 60.00 60.00 60.00
Sites, in units of the cell vectors:
Ta (0.1238, 0.1238, 0.1238)
Ta (0.1238, 0.1238, 0.6288)
Ta (0.1238, 0.6288, 0.1238)
Ta (0.6288, 0.1238, 0.1238)
Tc (0.7500, 0.7500, 0.7500)
Hg (0.5000, 0.5000, 0.5000)

Values from the calculation:
* space-group type: F-43m (216)
* ΔH_f (0 K): 0.489 eV per atom

Record 22
TaTc2Hg | PBE | optimized geometry

a b c (Å): 3.2892 4.4708 9.1434
angles (deg): 90.00 90.00 90.00
Sites, in units of the cell vectors:
Ta (0.0000, 0.0000, 0.0000)
Ta (0.5000, 0.5000, 0.5000)
Tc (0.0000, 0.0000, 0.5328)
Tc (0.0000, 0.5000, 0.2684)
Tc (0.5000, 0.0000, 0.7684)
Tc (0.5000, 0.5000, 0.0328)
Hg (0.0000, 0.5000, 0.7673)
Hg (0.5000, 0.0000, 0.2673)

Values from the calculation:
* space-group type: Imm2 (44)
* ΔH_f (0 K): 0.276 eV per atom

Record 23
TaTc2Hg | PBE | optimized geometry

a b c (Å): 3.0455 3.0455 26.2276
angles (deg): 90.00 90.00 120.00
Sites, in units of the cell vectors:
Ta (0.0000, 0.0000, 0.0000)
Ta (0.3333, 0.6667, 0.6667)
Ta (0.6667, 0.3333, 0.3333)
Tc (0.0000, 0.0000, 0.2573)
Tc (0.0000, 0.0000, 0.7427)
Tc (0.3333, 0.6667, 0.4094)
Tc (0.3333, 0.6667, 0.9240)
Tc (0.6667, 0.3333, 0.0760)
Tc (0.6667, 0.3333, 0.5906)
Hg (0.0000, 0.0000, 0.5000)
Hg (0.3333, 0.6667, 0.1667)
Hg (0.6667, 0.3333, 0.8333)

Values from the calculation:
* space-group type: R-3m (166)
* ΔH_f (0 K): 0.274 eV per atom

Record 24
TaTc2Hg | PBE | optimized geometry

a b c (Å): 9.2633 3.0482 4.9711
angles (deg): 90.00 104.41 90.00
Sites, in units of the cell vectors:
Ta (0.0000, 0.0000, 0.0000)
Ta (0.5000, 0.5000, 0.0000)
Tc (0.2370, 0.5000, 0.2282)
Tc (0.2630, 0.0000, 0.7718)
Tc (0.7370, 0.0000, 0.2282)
Tc (0.7630, 0.5000, 0.7718)
Hg (0.0000, 0.5000, 0.5000)
Hg (0.5000, 0.0000, 0.5000)

Values from the calculation:
* space-group type: C2/m (12)
* ΔH_f (0 K): 0.311 eV per atom

Record 25
Ta3TcHg | PBE | optimized geometry

a b c (Å): 4.8163 4.8163 4.8163
angles (deg): 90.00 90.00 90.00
Sites, in units of the cell vectors:
Ta (0.0000, 0.0000, 0.5000)
Ta (0.0000, 0.5000, 0.0000)
Ta (0.5000, 0.0000, 0.0000)
Tc (0.0000, 0.0000, 0.0000)
Hg (0.5000, 0.5000, 0.5000)

Values from the calculation:
* relative energy among the computed polymorphs: 0.000 eV/atom
* space-group type: Pm-3m (221)
* ΔH_f (0 K): 1.125 eV per atom

Record 26
TaTc2Hg | PBE | optimized geometry

a b c (Å): 9.7047 3.0604 4.6900
angles (deg): 90.00 105.05 90.00
Sites, in units of the cell vectors:
Ta (0.0000, 0.0000, 0.0000)
Ta (0.5000, 0.5000, 0.0000)
Tc (0.0216, 0.5000, 0.5479)
Tc (0.2539, 0.0000, 0.7719)
Tc (0.5216, 0.0000, 0.5479)
Tc (0.7539, 0.5000, 0.7719)
Hg (0.2636, 0.5000, 0.2818)
Hg (0.7636, 0.0000, 0.2818)

Values from the calculation:
* space-group type: Cm (8)
* ΔH_f (0 K): 0.290 eV per atom

Record 27
TaTc2Hg | PBE | optimized geometry

a b c (Å): 3.9928 3.9928 8.2945
angles (deg): 90.00 90.00 90.00
Sites, in units of the cell vectors:
Ta (0.0000, 0.0000, 0.0000)
Ta (0.5000, 0.5000, 0.5000)
Tc (0.0000, 0.0000, 0.5000)
Tc (0.0000, 0.5000, 0.7500)
Tc (0.5000, 0.0000, 0.2500)
Tc (0.5000, 0.5000, 0.0000)
Hg (0.0000, 0.5000, 0.2500)
Hg (0.5000, 0.0000, 0.7500)

Values from the calculation:
* space-group type: I-4m2 (119)
* ΔH_f (0 K): 0.283 eV per atom

Record 28
TaTc2Hg | PBE | optimized geometry

a b c (Å): 2.8521 4.1894 5.7770
angles (deg): 90.00 97.99 90.00
Sites, in units of the cell vectors:
Ta (0.0000, 0.0000, 0.0000)
Tc (0.3987, 0.5000, 0.2294)
Tc (0.6013, 0.5000, 0.7706)
Hg (0.0000, 0.0000, 0.5000)

Values from the calculation:
* space-group type: P2/m (10)
* ΔH_f (0 K): 0.317 eV per atom

no.,energy (eV/atom),volume (Å³/cell),ρ (g cm⁻³)
1,-8.70,224.16,16.522
2,-8.68,150.17,16.442
3,-6.54,276.65,15.913
4,-1.96,143.98,13.654
5,-2.60,168.44,15.433
6,-2.69,86.90,14.957
7,-6.40,135.24,16.275
8,-9.60,113.06,16.234
9,-8.68,150.74,16.379
10,-1.44,179.91,14.630
11,-6.80,194.73,16.101
12,-1.80,259.23,15.167
13,-2.85,84.64,15.356
14,-10.15,149.39,16.309
15,-7.03,314.67,15.900
16,-8.70,149.63,16.500
17,-4.86,304.21,11.453
18,-7.99,66.20,14.486
19,-2.97,150.54,9.715
20,-7.38,304.75,12.588
21,-9.19,111.74,15.193
22,-7.95,134.46,14.265
23,-7.95,210.68,13.656
24,-7.91,135.95,14.108
25,-8.12,111.72,12.507
26,-7.93,134.51,14.259
27,-7.94,132.23,14.505
28,-7.91,68.36,14.030